## MgBeMoHW (PBE-GGA)

Data for a relaxed MgBeMoHW crystal.

Output
Its space group is No. 1.

a b c (Å): 3.0983 4.5657 5.0089
angles (deg): 109.96 107.90 90.10
With the nearest neighbours (Å) after each atom.
Positions (direct):
Mg  0.0000  0.0000  0.0000  1 H 1.97
Be  0.2616  0.8596  0.5225  2 Mo 2.39, 2 W 2.52, 1 H 2.61, 2 Mg 2.63-2.64
Mo  0.5764  0.5506  0.1529  2 H 1.84
H  0.9725  0.5516  0.9440  2 Mo 1.84, 1 W 1.84, 1 Mg 1.97
W  0.7722  0.3021  0.5425  1 H 1.84

=====

## InNi2Os (PBE-GGA)

Data for a relaxed InNi2Os crystal.

Output
The value obtained for the formation energy is 0.329 eV per atom. Its space group is No. 10.

a b c (Å): 4.5767 2.7529 4.7988
angles (deg): 90.00 109.59 90.00
With the nearest neighbours (Å) after each atom.
Positions (direct):
In  0.0000  0.0000  0.0000  6 Ni 2.67-2.70, 2 In 2.75, 4 Os 2.77
Ni  0.5000  0.0000  0.5000  4 Os 2.67, 2 In 2.70, 6 Ni 2.75-2.77
Ni  0.5000  0.5000  0.0000  4 In 2.67, 2 Os 2.70, 6 Ni 2.75-2.77
Os  0.0000  0.5000  0.5000  6 Ni 2.67-2.70, 2 Os 2.75, 4 In 2.77

=====

## Sb2MoSe (PBE-GGA)

Data for a relaxed Sb2MoSe crystal.

Output
The raw formation energy is -279 meV per atom. Its space group is No. 14.

a b c (Å): 6.6552 6.5622 18.7432
angles (deg): 90.00 94.21 90.00
With the nearest neighbours (Å) after each atom.
Positions (direct):
Sb  0.0739  0.1247  0.0741  3 Mo 2.85-2.87, 1 Sb 2.91
Sb  0.0739  0.3753  0.5741  3 Mo 2.85-2.87, 1 Sb 2.91
Sb  0.0740  0.6248  0.0743  3 Mo 2.85-2.88, 1 Sb 2.91
Sb  0.0740  0.8752  0.5743  3 Mo 2.85-2.88, 1 Sb 2.91
Sb  0.1996  0.1015  0.2260  3 Sb 2.88-2.98
Sb  0.1996  0.3985  0.7260  3 Sb 2.88-2.98
Sb  0.2000  0.6477  0.2262  3 Sb 2.88-2.98
Sb  0.2000  0.8523  0.7262  3 Sb 2.88-2.98
Sb  0.8000  0.1477  0.2738  3 Sb 2.88-2.98
Sb  0.8000  0.3523  0.7738  3 Sb 2.88-2.98
Sb  0.8004  0.6015  0.2740  3 Sb 2.88-2.98
Sb  0.8004  0.8985  0.7740  3 Sb 2.88-2.98
Sb  0.9260  0.1248  0.4257  3 Mo 2.85-2.88, 1 Sb 2.91
Sb  0.9260  0.3752  0.9257  3 Mo 2.85-2.88, 1 Sb 2.91
Sb  0.9261  0.6247  0.4259  3 Mo 2.85-2.87, 1 Sb 2.91
Sb  0.9261  0.8753  0.9259  3 Mo 2.85-2.87, 1 Sb 2.91
Mo  0.3270  0.1244  0.4948  3 Se 2.51-2.53
Mo  0.3270  0.3756  0.9948  3 Se 2.51-2.53
Mo  0.3266  0.6254  0.4946  3 Se 2.51-2.53
Mo  0.3266  0.8746  0.9946  3 Se 2.51-2.53
Mo  0.6734  0.1254  0.0054  3 Se 2.51-2.53
Mo  0.6734  0.3746  0.5054  3 Se 2.51-2.53
Mo  0.6730  0.6244  0.0052  3 Se 2.51-2.53
Mo  0.6730  0.8756  0.5052  3 Se 2.51-2.53
Se  0.4119  0.1253  0.9004  3 Mo 2.51-2.53
Se  0.4119  0.3747  0.4004  3 Mo 2.51-2.53
Se  0.4121  0.6249  0.9001  3 Mo 2.51-2.53
Se  0.4121  0.8751  0.4001  3 Mo 2.51-2.53
Se  0.5879  0.1249  0.5999  3 Mo 2.51-2.53
Se  0.5879  0.3751  0.0999  3 Mo 2.51-2.53
Se  0.5881  0.6253  0.5996  3 Mo 2.51-2.53
Se  0.5881  0.8747  0.0996  3 Mo 2.51-2.53

=====

## CaInO2F (PBE-GGA)

Data for a relaxed CaInO2F crystal.

Output
The raw formation energy is -1452 meV per atom. Its space group is No. 123.

a b c (Å): 4.4553 4.4553 4.2566
angles (deg): 90.00 90.00 90.00
With the nearest neighbours (Å) after each atom.
Positions (direct):
Ca  0.0000  0.0000  0.0000  2 F 2.13, 4 O 2.23
In  0.5000  0.5000  0.5000  8 O 3.08, 4 F 3.15
O  0.0000  0.5000  0.0000  2 Ca 2.23
O  0.5000  0.0000  0.0000  2 Ca 2.23
F  0.0000  0.0000  0.5000  2 Ca 2.13

=====

## LiZn2Pd2 (PBE-GGA)

Data for a relaxed LiZn2Pd2 crystal.

Output
The value obtained for the formation energy is -0.488 eV per atom. Its space group is No. 127.

a b c (Å): 7.3437 7.3437 2.8838
angles (deg): 90.00 90.00 90.00
With the nearest neighbours (Å) after each atom.
Positions (direct):
Li  0.0000  0.0000  0.0000  4 Zn 2.86, 2 Li 2.88, 8 Pd 3.10
Li  0.5000  0.5000  0.0000  4 Zn 2.86, 2 Li 2.88, 8 Pd 3.10
Zn  0.1339  0.3661  0.0000  6 Pd 2.55-2.63, 1 Zn 2.78
Zn  0.3661  0.8661  0.0000  6 Pd 2.55-2.63, 1 Zn 2.78
Zn  0.6339  0.1339  0.0000  6 Pd 2.55-2.63, 1 Zn 2.78
Zn  0.8661  0.6339  0.0000  6 Pd 2.55-2.63, 1 Zn 2.78
Pd  0.1635  0.6635  0.5000  6 Zn 2.55-2.63
Pd  0.3365  0.1635  0.5000  6 Zn 2.55-2.63
Pd  0.6635  0.8365  0.5000  6 Zn 2.55-2.63
Pd  0.8365  0.3365  0.5000  6 Zn 2.55-2.63

=====

## PmCd2Rh (PBE-GGA)

Data for a relaxed PmCd2Rh crystal.

Output
The value obtained for the formation energy is -0.459 eV per atom. Its space group is No. 11.

a b c (Å): 4.1696 8.6070 5.3916
angles (deg): 90.00 112.73 90.00
With the nearest neighbours (Å) after each atom.
Positions (direct):
Pm  0.0693  0.2500  0.1361  3 Rh 2.89-2.95
Pm  0.9307  0.7500  0.8639  3 Rh 2.89-2.95
Cd  0.3559  0.0478  0.7126  3 Rh 2.83-2.89, 3 Cd 2.97-3.08
Cd  0.3559  0.4522  0.7126  3 Rh 2.83-2.89, 3 Cd 2.97-3.08
Cd  0.6441  0.5478  0.2874  3 Rh 2.83-2.89, 3 Cd 2.97-3.08
Cd  0.6441  0.9522  0.2874  3 Rh 2.83-2.89, 3 Cd 2.97-3.08
Rh  0.2235  0.7500  0.4454  6 Cd 2.83-2.89, 3 Pm 2.89-2.95
Rh  0.7765  0.2500  0.5546  6 Cd 2.83-2.89, 3 Pm 2.89-2.95

=====

## Sn6As2Se3S (PBE-GGA)

Data for a relaxed Sn6As2Se3S crystal.

Output
The raw formation energy is -273 meV per atom. Its space group is No. 12.

a b c (Å): 9.4276 9.4276 8.3743
angles (deg): 103.55 103.55 25.55
With the nearest neighbours (Å) after each atom.
Positions (direct):
Sn  0.0031  0.0031  0.2449  1 As 2.91, 2 S 2.92, 3 Se 2.99-3.06
Sn  0.3294  0.3294  0.4261  3 As 2.88-2.92, 3 Se 3.03-3.05
Sn  0.3342  0.3342  0.9101  2 As 2.92, 1 S 2.96, 3 Se 2.97-2.99
Sn  0.6658  0.6658  0.0899  2 As 2.92, 1 S 2.96, 3 Se 2.97-2.99
Sn  0.6706  0.6706  0.5739  3 As 2.88-2.92, 3 Se 3.03-3.05
Sn  0.9969  0.9969  0.7551  1 As 2.91, 2 S 2.92, 3 Se 2.99-3.06
As  0.1660  0.1660  0.3339  6 Sn 2.88-2.92
As  0.8340  0.8340  0.6661  6 Sn 2.88-2.92
Se  0.1680  0.1680  0.8346  6 Sn 2.97-3.06
Se  0.5000  0.5000  0.5000  6 Sn 2.99-3.05
Se  0.8320  0.8320  0.1654  6 Sn 2.97-3.06
S  0.5000  0.5000  0.0000  6 Sn 2.92-2.96

=====

## Sr2Pd2Ru (PBE-GGA)

Data for a relaxed Sr2Pd2Ru crystal.

Output
The value obtained for the formation energy is -0.060 eV per atom. Its space group is No. 127.

a b c (Å): 7.0714 7.0714 4.6918
angles (deg): 90.00 90.00 90.00
With the nearest neighbours (Å) after each atom.
Positions (direct):
Sr  0.1783  0.3217  0.0000  6 Pd 2.99-3.25
Sr  0.3217  0.8217  0.0000  6 Pd 2.99-3.25
Sr  0.6783  0.1783  0.0000  6 Pd 2.99-3.25
Sr  0.8217  0.6783  0.0000  6 Pd 2.99-3.25
Pd  0.1363  0.6363  0.5000  1 Pd 2.73, 2 Ru 2.75, 2 Sr 2.99
Pd  0.3637  0.1363  0.5000  1 Pd 2.73, 2 Ru 2.75, 2 Sr 2.99
Pd  0.6363  0.8637  0.5000  1 Pd 2.73, 2 Ru 2.75, 2 Sr 2.99
Pd  0.8637  0.3637  0.5000  1 Pd 2.73, 2 Ru 2.75, 2 Sr 2.99
Ru  0.0000  0.0000  0.5000  4 Pd 2.75
Ru  0.5000  0.5000  0.5000  4 Pd 2.75

=====

## Hf2V2Os (PBE-GGA)

Data for a relaxed Hf2V2Os crystal.

Output
The value obtained for the formation energy is -0.041 eV per atom. Its space group is No. 127.

a b c (Å): 6.3234 6.3234 4.3984
angles (deg): 90.00 90.00 90.00
With the nearest neighbours (Å) after each atom.
Positions (direct):
Hf  0.1694  0.3306  0.0000  6 V 2.78-2.95, 1 Hf 3.03
Hf  0.3306  0.8306  0.0000  6 V 2.78-2.95, 1 Hf 3.03
Hf  0.6694  0.1694  0.0000  6 V 2.78-2.95, 1 Hf 3.03
Hf  0.8306  0.6694  0.0000  6 V 2.78-2.95, 1 Hf 3.03
V  0.1407  0.6407  0.5000  2 Os 2.44, 1 V 2.52
V  0.3593  0.1407  0.5000  2 Os 2.44, 1 V 2.52
V  0.6407  0.8593  0.5000  2 Os 2.44, 1 V 2.52
V  0.8593  0.3593  0.5000  2 Os 2.44, 1 V 2.52
Os  0.0000  0.0000  0.5000  4 V 2.44
Os  0.5000  0.5000  0.5000  4 V 2.44

=====

## CoAs2Ru (PBE-GGA)

Data for a relaxed CoAs2Ru crystal.

Output
The value obtained for the formation energy is 0.201 eV per atom. Its space group is No. 119.

a b c (Å): 5.1196 5.1196 5.1196
angles (deg): 138.95 138.95 59.45
With the nearest neighbours (Å) after each atom.
Positions (direct):
Co  0.0000  0.0000  0.0000  4 As 2.54
As  0.5000  0.5000  0.0000  4 Co 2.54
As  0.7500  0.2500  0.5000  4 Ru 2.54
Ru  0.2500  0.7500  0.5000  4 As 2.54

=====

## Ti2Ir2Pt (PBE-GGA)

Data for a relaxed Ti2Ir2Pt crystal.

Output
The value obtained for the formation energy is -0.584 eV per atom. Its space group is No. 127.

a b c (Å): 7.4248 7.4248 2.8785
angles (deg): 90.00 90.00 90.00
With the nearest neighbours (Å) after each atom.
Positions (direct):
Ti  0.1571  0.3429  0.0000  6 Ir 2.58-2.63, 2 Pt 2.80, 2 Ti 2.88
Ti  0.3429  0.8429  0.0000  6 Ir 2.58-2.63, 2 Pt 2.80, 2 Ti 2.88
Ti  0.6571  0.1571  0.0000  6 Ir 2.58-2.63, 2 Pt 2.80, 2 Ti 2.88
Ti  0.8429  0.6571  0.0000  6 Ir 2.58-2.63, 2 Pt 2.80, 2 Ti 2.88
Ir  0.1387  0.6387  0.5000  6 Ti 2.58-2.63, 2 Ir 2.88
Ir  0.3613  0.1387  0.5000  6 Ti 2.58-2.63, 2 Ir 2.88
Ir  0.6387  0.8613  0.5000  6 Ti 2.58-2.63, 2 Ir 2.88
Ir  0.8613  0.3613  0.5000  6 Ti 2.58-2.63, 2 Ir 2.88
Pt  0.0000  0.0000  0.0000  4 Ti 2.80, 2 Pt 2.88
Pt  0.5000  0.5000  0.0000  4 Ti 2.80, 2 Pt 2.88

=====

Number 1: E -6.19 eV per atom. Number 2: E -6.05 eV per atom. Number 3: E -5.92 eV per atom. Number 4: E -4.76 eV per atom. Number 5: E -3.46 eV per atom. Number 6: E -3.94 eV per atom. Number 7: E -4.26 eV per atom. Number 8: E -4.66 eV per atom. Number 9: E -9.92 eV per atom. Number 10: E -6.22 eV per atom. Number 11: E -8.49 eV per atom.